1.
Computed, not measured: a PBEsol-optimized structure of LaN at the SCAN level of DFT.

Calculated values
uncorrected energy = -54.36 eV per cell
N(E_F) = 0.137 states/eV/cell
formation energy without anion corrections = -0.982 eV/atom

Unit cell a=3.123 b=3.123 c=3.123 alpha=90.00 beta=90.00 gamma=90.00
Space group Pm-3m (No. 221)
Unique sites:
1 La 0.000 0.000 0.000 x1
2 N 0.500 0.500 0.500 x1

=====

2.
Computed, not measured: a PBEsol-optimized structure of K2YNi at the SCAN level of DFT.

Calculated values
E above lowest polymorph = 3.847 eV per formula unit
uncorrected energy = -224.36 eV per cell
N(E_F) = 14.017 states/eV/cell

Unit cell a=7.891 b=7.891 c=7.891 alpha=90.00 beta=90.00 gamma=90.00
Space group Fm-3m (No. 225)
Unique sites:
1 K 0.250 0.250 0.250 x8
2 Y 0.000 0.000 0.000 x4
3 Ni 0.000 0.000 0.500 x4

=====

3.
Computed, not measured: a PBEsol-optimized structure of Mg2ZnCo2 at the SCAN level of DFT.

Calculated values
uncorrected energy = -115.24 eV per cell
N(E_F) = 6.212 states/eV/cell

Unit cell a=6.018 b=6.018 c=4.001 alpha=90.00 beta=90.00 gamma=90.00
Space group P4/mbm (No. 127)
Unique sites:
1 Mg 0.172 0.328 0.000 x4
2 Zn 0.000 0.000 0.500 x2
3 Co 0.127 0.627 0.500 x4

=====

4.
Computed, not measured: a PBEsol-optimized structure of BaMnRu at the SCAN level of DFT.

Calculated values
E above lowest polymorph = 0.000 eV per formula unit
uncorrected energy = -91.19 eV per cell
N(E_F) = 2.614 states/eV/cell

Unit cell a=3.8852 b=3.8852 c=5.2857 alpha=90.00 beta=90.00 gamma=120.00
Space group P-6m2 (No. 187)
Unique sites:
1 Ba 0.0000 0.0000 0.0000 x1
2 Mn 0.3333 0.6667 0.5000 x1
3 Ru 0.6667 0.3333 0.5000 x1

=====

5.
Computed, not measured: a PBEsol-optimized structure of LaHg2Cl at the SCAN level of DFT.

Calculated values
E above lowest polymorph = 0.136 eV per formula unit
uncorrected energy = -382.44 eV per cell
N(E_F) = 5.361 states/eV/cell
formation energy without anion corrections = -0.951 eV/atom

Unit cell a=4.814 b=4.814 c=8.311 alpha=90.00 beta=90.00 gamma=90.00
Space group I-4m2 (No. 119)
Unique sites:
1 La 0.000 0.000 0.000 x2
2 Hg 0.000 0.000 0.500 x2
3 Hg 0.000 0.500 0.750 x2
4 Cl 0.000 0.500 0.250 x2

=====

6.
Computed, not measured: a PBEsol-optimized structure of MnSi2 at the SCAN level of DFT.

Calculated values
uncorrected energy = -153.67 eV per cell
N(E_F) = 6.716 states/eV/cell
formation energy without anion corrections = -0.043 eV/atom

Unit cell a=2.676 b=2.676 c=20.608 alpha=90.00 beta=90.00 gamma=90.00
Space group I4_1/amd (No. 141, origin choice 2)
Unique sites:
1 Mn 0.000 0.250 0.375 x4
2 Si 0.000 0.250 0.805 x8

=====

7.
Computed, not measured: a PBEsol-optimized structure of LaIr2Os at the SCAN level of DFT.

Calculated values
E above lowest polymorph = 2.488 eV per formula unit
uncorrected energy = -1018.72 eV per cell
N(E_F) = 22.203 states/eV/cell

Unit cell a=6.523 b=6.523 c=6.523 alpha=90.00 beta=90.00 gamma=90.00
Space group F-43m (No. 216)
Unique sites:
1 La 0.000 0.000 0.000 x4
2 Ir 0.000 0.000 0.500 x4
3 Ir 0.250 0.250 0.750 x4
4 Os 0.250 0.250 0.250 x4

=====

8.
Computed, not measured: a PBEsol-optimized structure of Tm2InAu2 at the SCAN level of DFT.

Calculated values
uncorrected energy = -561.26 eV per cell
N(E_F) = 6.048 states/eV/cell

Unit cell a=7.761 b=7.761 c=3.617 alpha=90.00 beta=90.00 gamma=90.00
Space group P4/mbm (No. 127)
Unique sites:
1 Tm 0.168 0.332 0.000 x4
2 In 0.000 0.000 0.500 x2
3 Au 0.129 0.629 0.500 x4

=====

9.
Computed, not measured: a PBEsol-optimized structure of BeNi3N at the SCAN level of DFT.

Calculated values
uncorrected energy = -62.65 eV per cell
N(E_F) = 2.713 states/eV/cell
formation energy without anion corrections = -0.097 eV/atom

Unit cell a=3.638 b=3.638 c=3.638 alpha=90.00 beta=90.00 gamma=90.00
Space group Pm-3m (No. 221)
Unique sites:
1 Be 0.000 0.000 0.000 x1
2 Ni 0.000 0.500 0.500 x3
3 N 0.500 0.500 0.500 x1

=====

10.
Computed, not measured: a PBEsol-optimized structure of KH7C4O10 at the SCAN level of DFT.

Calculated values
uncorrected energy = -322.92 eV per cell
N(E_F) = 0.000 states/eV/cell

Unit cell a=6.335 b=6.891 c=10.402 alpha=92.20 beta=102.02 gamma=100.98
Space group P-1 (No. 2)
Unique sites:
1 K 0.154 0.158 0.270 x2
2 H 0.106 0.286 0.941 x2
3 H 0.112 0.682 0.192 x2
4 H 0.150 0.813 0.046 x2
5 H 0.227 0.184 0.599 x2
6 H 0.253 0.958 0.555 x2
7 H 0.351 0.049 0.727 x2
8 H 0.368 0.562 0.740 x2
9 C 0.234 0.675 0.407 x2
10 C 0.274 0.553 0.529 x2
11 C 0.418 0.981 0.932 x2
12 C 0.484 0.454 0.065 x2
13 O 0.049 0.771 0.113 x2
14 O 0.180 0.576 0.296 x2
15 O 0.211 0.368 0.512 x2
16 O 0.226 0.047 0.631 x2
17 O 0.229 0.877 0.925 x2
18 O 0.257 0.859 0.426 x2
19 O 0.313 0.330 0.065 x2
20 O 0.355 0.483 0.837 x2
21 O 0.365 0.655 0.638 x2
22 O 0.492 0.060 0.838 x2

=====

11.
Computed, not measured: a PBEsol-optimized structure of CaFeSb at the SCAN level of DFT.

Calculated values
uncorrected energy = -130.30 eV per cell
N(E_F) = 4.147 states/eV/cell
formation energy without anion corrections = -0.033 eV/atom

Unit cell a=3.361 b=3.361 c=10.762 alpha=90.00 beta=90.00 gamma=90.00
Space group I4mm (No. 107)
Unique sites:
1 Ca 0.000 0.000 0.000 x2
2 Fe 0.000 0.000 0.306 x2
3 Sb 0.000 0.000 0.711 x2

=====

12.
Computed, not measured: a PBEsol-optimized structure of BaCo2P at the SCAN level of DFT.

Calculated values
uncorrected energy = -83.58 eV per cell
N(E_F) = 2.359 states/eV/cell

Unit cell a=3.070 b=3.178 c=6.972 alpha=90.00 beta=90.00 gamma=90.00
Space group Pmm2 (No. 25)
Unique sites:
1 Ba 0.000 0.000 0.000 x1
2 Co 0.000 0.000 0.510 x1
3 Co 0.500 0.500 0.341 x1
4 P 0.500 0.500 0.648 x1

=====

13.
Computed, not measured: a PBEsol-optimized structure of TaFeCo2 at the SCAN level of DFT.

Calculated values
E above lowest polymorph = 0.483 eV per formula unit
uncorrected energy = -119.60 eV per cell
N(E_F) = 3.400 states/eV/cell

Unit cell a=3.615 b=3.615 c=3.573 alpha=90.00 beta=90.00 gamma=90.00
Space group P4/mmm (No. 123)
Unique sites:
1 Ta 0.000 0.000 0.000 x1
2 Fe 0.500 0.500 0.000 x1
3 Co 0.000 0.500 0.500 x2

=====

14.
Computed, not measured: a PBEsol-optimized structure of TlSe3O at the SCAN level of DFT.

Calculated values
uncorrected energy = -137.10 eV per cell
N(E_F) = 4.027 states/eV/cell
formation energy without anion corrections = 0.345 eV/atom

Unit cell a=4.587 b=4.587 c=4.587 alpha=90.00 beta=90.00 gamma=90.00
Space group Pm-3m (No. 221)
Unique sites:
1 Tl 0.000 0.000 0.000 x1
2 Se 0.000 0.500 0.500 x3
3 O 0.500 0.500 0.500 x1

=====

15.
Computed, not measured: a PBEsol-optimized structure of ZnAgOs2Cl at the SCAN level of DFT.

Calculated values
uncorrected energy = -184.32 eV per cell
N(E_F) = 3.040 states/eV/cell
formation energy without anion corrections = 2.460 eV/atom

Unit cell a=4.927 b=4.927 c=4.564 alpha=90.00 beta=90.00 gamma=90.00
Space group P4/mmm (No. 123)
Unique sites:
1 Zn 0.000 0.000 0.000 x1
2 Ag 0.500 0.500 0.500 x1
3 Os 0.000 0.500 0.500 x2
4 Cl 0.500 0.500 0.000 x1

=====

16.
Computed, not measured: a PBEsol-optimized structure of La2CdCl at the SCAN level of DFT.

Calculated values
E above lowest polymorph = 0.000 eV per formula unit
uncorrected energy = -128.80 eV per cell
N(E_F) = 3.005 states/eV/cell
formation energy without anion corrections = -1.049 eV/atom

Unit cell a=4.312 b=4.312 c=6.185 alpha=90.00 beta=90.00 gamma=90.00
Space group P4/mmm (No. 123)
Unique sites:
1 La 0.000 0.000 0.000 x1
2 La 0.500 0.500 0.500 x1
3 Cd 0.000 0.000 0.500 x1
4 Cl 0.500 0.500 0.000 x1

=====

17.
Computed, not measured: a PBEsol-optimized structure of Sc2CuReMo at the SCAN level of DFT.

Calculated values
uncorrected energy = -144.08 eV per cell
N(E_F) = 5.745 states/eV/cell

Unit cell a=4.537 b=4.537 c=4.574 alpha=90.00 beta=90.00 gamma=90.00
Space group P4/mmm (No. 123)
Unique sites:
1 Sc 0.000 0.500 0.000 x2
2 Cu 0.000 0.000 0.000 x1
3 Re 0.500 0.500 0.500 x1
4 Mo 0.000 0.000 0.500 x1

=====

18.
Computed, not measured: a PBEsol-optimized structure of TcB2SN at the SCAN level of DFT.

Calculated values
uncorrected energy = -59.39 eV per cell
N(E_F) = 3.373 states/eV/cell
formation energy without anion corrections = 1.890 eV/atom

Unit cell a=3.796 b=3.796 c=3.392 alpha=90.00 beta=90.00 gamma=90.00
Space group P4/mmm (No. 123)
Unique sites:
1 Tc 0.000 0.000 0.000 x1
2 B 0.000 0.500 0.500 x2
3 S 0.500 0.500 0.500 x1
4 N 0.500 0.500 0.000 x1

=====

19.
Computed, not measured: a PBEsol-optimized structure of Ba2NiW2 at the SCAN level of DFT.

Calculated values
uncorrected energy = -459.87 eV per cell
N(E_F) = 7.896 states/eV/cell

Unit cell a=3.596 b=3.596 c=19.979 alpha=90.00 beta=90.00 gamma=90.00
Space group I4/mmm (No. 139)
Unique sites:
1 Ba 0.000 0.000 0.093 x4
2 Ni 0.000 0.000 0.500 x2
3 W 0.000 0.500 0.250 x4

=====

20.
Computed, not measured: a PBEsol-optimized structure of KRu2Pt at the SCAN level of DFT.

Calculated values
E above lowest polymorph = 0.113 eV per formula unit
uncorrected energy = -286.20 eV per cell
N(E_F) = 10.577 states/eV/cell

Unit cell a=3.990 b=3.990 c=8.070 alpha=90.00 beta=90.00 gamma=90.00
Space group I4/mmm (No. 139)
Unique sites:
1 K 0.000 0.000 0.000 x2
2 Ru 0.000 0.500 0.250 x4
3 Pt 0.000 0.000 0.500 x2

=====

21.
Computed, not measured: a PBEsol-optimized structure of Be2CoPdI at the SCAN level of DFT.

Calculated values
uncorrected energy = -91.34 eV per cell
N(E_F) = 3.073 states/eV/cell
formation energy without anion corrections = 0.837 eV/atom

Unit cell a=4.041 b=4.041 c=4.816 alpha=90.00 beta=90.00 gamma=90.00
Space group P4/mmm (No. 123)
Unique sites:
1 Be 0.000 0.500 0.000 x2
2 Co 0.000 0.000 0.000 x1
3 Pd 0.500 0.500 0.500 x1
4 I 0.000 0.000 0.500 x1

=====

22.
Computed, not measured: a PBEsol-optimized structure of ReTe2Br at the SCAN level of DFT.

Calculated values
uncorrected energy = -645.53 eV per cell
N(E_F) = 8.973 states/eV/cell
formation energy without anion corrections = 0.919 eV/atom

Unit cell a=6.921 b=6.921 c=6.921 alpha=90.00 beta=90.00 gamma=90.00
Space group Fm-3m (No. 225)
Unique sites:
1 Re 0.000 0.000 0.000 x4
2 Te 0.250 0.250 0.250 x8
3 Br 0.000 0.000 0.500 x4

=====

23.
Computed, not measured: a PBEsol-optimized structure of CrCo2Au at the SCAN level of DFT.

Calculated values
uncorrected energy = -486.11 eV per cell
N(E_F) = 12.150 states/eV/cell

Unit cell a=5.855 b=5.855 c=5.855 alpha=90.00 beta=90.00 gamma=90.00
Space group F-43m (No. 216)
Unique sites:
1 Cr 0.000 0.000 0.000 x4
2 Co 0.000 0.000 0.500 x4
3 Co 0.250 0.250 0.250 x4
4 Au 0.250 0.250 0.750 x4

=====

24.
Computed, not measured: a PBEsol-optimized structure of CeNbO4 at the SCAN level of DFT.

Calculated values
uncorrected energy = -489.03 eV per cell
N(E_F) = 12.847 states/eV/cell
formation energy without anion corrections = -3.273 eV/atom

Unit cell a=5.313 b=5.313 c=11.185 alpha=90.00 beta=90.00 gamma=90.00
Space group I4_1/a (No. 88, origin choice 2)
Unique sites:
1 Ce 0.000 0.250 0.125 x4
2 Nb 0.000 0.250 0.625 x4
3 O 0.179 0.496 0.715 x16

=====

25.
Computed, not measured: a PBEsol-optimized structure of Fe2CoNi at the SCAN level of DFT.

Calculated values
E above lowest polymorph = 0.049 eV per formula unit
uncorrected energy = -140.28 eV per cell
N(E_F) = 4.862 states/eV/cell

Unit cell a=2.894 b=3.889 c=7.706 alpha=90.00 beta=90.00 gamma=90.00
Space group Cmmm (No. 65)
Unique sites:
1 Fe 0.000 0.000 0.249 x4
2 Co 0.000 0.500 0.500 x2
3 Ni 0.000 0.500 0.000 x2

=====

26.
Computed, not measured: a PBEsol-optimized structure of CdPt2Pb at the SCAN level of DFT.

Calculated values
E above lowest polymorph = 0.516 eV per formula unit
uncorrected energy = -493.45 eV per cell
N(E_F) = 6.022 states/eV/cell

Unit cell a=8.848 b=4.346 c=4.347 alpha=90.00 beta=118.94 gamma=90.00
Space group C2/m (No. 12)
Unique sites:
1 Cd 0.000 0.000 0.000 x2
2 Pt 0.250 0.000 0.750 x4
3 Pb 0.000 0.500 0.500 x2

=====

27.
Computed, not measured: a PBEsol-optimized structure of CuReS2N at the SCAN level of DFT.

Calculated values
uncorrected energy = -103.16 eV per cell
N(E_F) = 4.092 states/eV/cell
formation energy without anion corrections = 2.336 eV/atom

Unit cell a=4.165 b=4.165 c=4.942 alpha=90.00 beta=90.00 gamma=90.00
Space group P4/mmm (No. 123)
Unique sites:
1 Cu 0.000 0.000 0.000 x1
2 Re 0.000 0.000 0.500 x1
3 S 0.000 0.500 0.000 x2
4 N 0.500 0.500 0.500 x1